A plane-wave DFT calculation with PBE was carried out for an optimized crystal structure of LiAl4Cr.

abc: 4.9582 6.7278 6.7281
angles: 115.44 101.18 101.18
With the nearest neighbours (Å) after each atom.
Fractional positions:
Al: 0.4442 0.7029 0.0692  2 Cr 2.53-2.55, 3 Al 2.69-2.82, 1 Li 2.78
Al: 0.1450 0.3972 0.1787  2 Cr 2.58-2.63, 2 Li 2.70-2.83, 5 Al 2.74-2.88
Al: 0.0557 0.9307 0.2970  2 Cr 2.53-2.55, 3 Al 2.69-2.82, 1 Li 2.78
Al: 0.6451 0.1787 0.3972  2 Cr 2.58-2.63, 2 Li 2.70-2.83, 5 Al 2.74-2.88
Al: 0.9442 0.0693 0.7030  2 Cr 2.53-2.55, 3 Al 2.69-2.82, 1 Li 2.78
Li: 0.2500 0.4070 0.5929  10 Al 2.70-2.93
Al: 0.5557 0.2971 0.9308  2 Cr 2.53-2.55, 3 Al 2.69-2.82, 1 Li 2.78
Al: 0.3549 0.8213 0.6028  2 Cr 2.58-2.63, 2 Li 2.70-2.83, 5 Al 2.74-2.88
Cr: 0.2500 0.9980 0.0020  2 Cr 2.48, 8 Al 2.53-2.63
Al: 0.8549 0.6028 0.8213  2 Cr 2.58-2.63, 2 Li 2.70-2.83, 5 Al 2.74-2.88
Li: 0.7499 0.5930 0.4071  10 Al 2.70-2.93
Cr: 0.7500 0.0020 0.9980  2 Cr 2.48, 8 Al 2.53-2.63

Summary:
Distance to the lowest polymorph of the same formula (kcal/mol of atoms): 0.00
E_form (eV/atom): -0.044
E_tot (eV per atom): -4.462
Space-group type: C2/c

A plane-wave DFT calculation with PBE was carried out for an optimized crystal structure of LiAl2Cr.

abc: 4.9967 4.9967 4.4932
angles: 71.35 71.35 31.76
With the nearest neighbours (Å) after each atom.
Fractional positions:
Li: 0.7517 0.7517 0.8018  7 Al 2.57-2.69, 2 Li 2.73, 2 Cr 2.80
Al: 0.2442 0.2442 0.3219  3 Cr 2.57-2.72, 4 Li 2.57-2.69, 4 Al 2.73-2.83
Cr: 0.5055 0.5055 0.4352  7 Al 2.57-2.72, 2 Cr 2.73, 2 Li 2.80
Al: 0.9986 0.9986 0.9410  4 Cr 2.63, 3 Li 2.65-2.68, 4 Al 2.73-2.83

Summary:
E_form (eV/atom): 0.013
E_tot (eV per atom): -4.743
Space-group type: Cm

A plane-wave DFT calculation with PBE was carried out for an optimized crystal structure of LiMnAlCr2.

abc: 4.1379 4.0897 4.1379
angles: 90.00 90.00 90.00
With the nearest neighbours (Å) after each atom.
Fractional positions:
Mn: 0.0000 0.5000 0.0000  2 Li 2.04
Li: 0.0000 0.0000 0.0000  2 Mn 2.04, 4 Cr 2.07
Cr: 0.0000 0.0000 0.5000  2 Li 2.07
Cr: 0.5000 0.0000 0.0000  2 Li 2.07
Al: 0.5000 0.5000 0.5000  8 Cr 2.91, 4 Mn 2.93

Summary:
E_form (eV/atom): 1.114
E_tot (eV per atom): -5.701
Space-group type: P4/mmm

A plane-wave DFT calculation with PBE was carried out for an optimized crystal structure of LiMnAlCr.

abc: 4.1783 4.1783 4.1783
angles: 60.00 60.00 60.00
With the nearest neighbours (Å) after each atom.
Fractional positions:
Al: 0.5000 0.5000 0.5000  4 Mn 2.56, 4 Li 2.56
Cr: 0.0000 0.0000 0.0000  4 Mn 2.56, 4 Li 2.56
Mn: 0.2500 0.2500 0.2500  4 Cr 2.56, 4 Al 2.56
Li: 0.7500 0.7500 0.7500  4 Cr 2.56, 4 Al 2.56

Summary:
E_form (eV/atom): 0.001
E_tot (eV per atom): -6.112
Space-group type: F-43m

A plane-wave DFT calculation with PBE was carried out for an optimized crystal structure of Li2AlCrMo.

abc: 4.1520 4.7832 4.1520
angles: 90.00 90.00 90.00
With the nearest neighbours (Å) after each atom.
Fractional positions:
Mo: 0.0000 0.5000 0.0000  2 Al 2.39
Li: 0.5000 0.0000 0.0000  2 Al 2.08
Al: 0.0000 0.0000 0.0000  4 Li 2.08
Cr: 0.5000 0.5000 0.5000  4 Mo 2.94, 8 Li 3.17
Li: 0.0000 0.0000 0.5000  2 Al 2.08

Summary:
E_form (eV/atom): 1.319
E_tot (eV per atom): -4.285
Space-group type: P4/mmm

A plane-wave DFT calculation with PBE was carried out for an optimized crystal structure of LiAlCrNi.

abc: 4.1206 4.1206 4.1206
angles: 60.00 60.00 60.00
With the nearest neighbours (Å) after each atom.
Fractional positions:
Li: 0.7500 0.7500 0.7500  4 Al 2.52, 4 Cr 2.52
Cr: 0.0000 0.0000 0.0000  4 Ni 2.52, 4 Li 2.52
Al: 0.5000 0.5000 0.5000  4 Li 2.52, 4 Ni 2.52
Ni: 0.2500 0.2500 0.2500  4 Al 2.52, 4 Cr 2.52

Summary:
E_form (eV/atom): -0.080
E_tot (eV per atom): -5.346
Space-group type: F-43m